(1)
Here is a relaxed structure of Cu6Pt2Rh from Alexandria. Energies are from PBE.

Calculated values
Volume, Å³/atom: 13.25
Fermi-level density of states, states/eV/cell: 7.7
DFT total energy, eV per atom: -4.897
DFT formation energy, eV/f.u.: -0.1

Unit cell a=4.944 b=6.715 c=6.715 alpha=65.37 beta=47.12 gamma=47.12
Fractional coordinates of all 9 atoms:
1 Cu 0.500 0.166 0.834
2 Cu 0.833 0.500 0.834
3 Cu 0.167 0.500 0.166
4 Cu 0.833 0.834 0.500
5 Cu 0.500 0.834 0.166
6 Cu 0.167 0.166 0.500
7 Rh 0.000 0.000 0.000
8 Pt 0.669 0.331 0.331
9 Pt 0.331 0.669 0.669


(2)
Here is a relaxed structure of CuPtRh2 from Alexandria. Energies are from PBE.

Calculated values
Volume, Å³/atom: 14.19
Fermi-level density of states, states/eV/cell: 5.1
DFT total energy, eV per atom: -6.226
DFT formation energy, eV/f.u.: -0.1

Unit cell a=8.898 b=8.898 c=8.898 alpha=17.68 beta=17.68 gamma=17.68
Fractional coordinates of all 4 atoms:
1 Pt 0.752 0.752 0.752
2 Rh 0.249 0.249 0.249
3 Rh 0.997 0.997 0.997
4 Cu 0.501 0.501 0.501


(3)
Here is a relaxed structure of CuPtRh4 from Alexandria. Energies are from PBE.

Calculated values
Volume, Å³/atom: 14.18
Fermi-level density of states, states/eV/cell: 9.4
DFT total energy, eV per atom: -6.564
DFT formation energy, eV/f.u.: 0.2

Unit cell a=2.737 b=2.737 c=11.360 alpha=90.00 beta=90.00 gamma=90.00
Fractional coordinates of all 6 atoms:
1 Rh 0.000 0.000 0.660
2 Rh 0.000 0.000 0.340
3 Rh 0.500 0.500 0.823
4 Rh 0.500 0.500 0.177
5 Pt 0.000 0.000 0.000
6 Cu 0.500 0.500 0.500


Number 1: mass density 12.17 g/cm3. Number 2: mass density 13.59 g/cm3. Number 3: mass density 13.08 g/cm3.